The following is a DFT calculation (GGA-PBE) of a relaxed Zn2PClF crystal.

abc: 4.1578 4.1578 5.4206
angles: 90.00 90.00 90.00
Space group P4/mmm (No. 123)
One atom of each set of equivalent atoms:
Zn  0.0000  0.5000  0.0000
P  0.0000  0.0000  0.5000
Cl  0.5000  0.5000  0.5000
F  0.5000  0.5000  0.0000

Results
magnetization = 0.00 μB/f.u.
V = 93.7 Å³/cell
ΔE_f (raw) = 0.53 eV/f.u.
DFT total energy = -2.23 eV per atom